An optimized crystal structure of Tb2TmTl, computed with PBE.

a = 3.5536 Å, b = 3.5536 Å, c = 33.1758 Å
α = 90.00°, β = 90.00°, γ = 120.00°
With the nearest neighbours (Å) after each atom.
Space group R-3m (No. 166, hexagonal axes)
Inequivalent atoms, fractional coordinates:
1 Tb 0.0000 0.0000 0.2474 x6  3 Tl 3.37, 3 Tm 3.51, 6 Tb 3.55
2 Tm 0.0000 0.0000 0.0000 x3  6 Tb 3.51, 6 Tm 3.55
3 Tl 0.0000 0.0000 0.5000 x3  6 Tb 3.37, 6 Tl 3.55

Summary:
Crystal system: trigonal
Magnetization in μB/cell: 0.000
E_tot in eV for the cell shown: -49.51
Energy above the most stable polymorph in this dataset in kcal/mol of atoms: 1.76
Energy of formation in eV per atom: -0.10
D(E_F) in states/eV per atom: 1.09